Record 1
# KMnGaTe3 | Alexandria | PBE-GGA | relaxed
data_KMnGaTe3
_space_group_name_H-M_alt 'P 1 21/m 1'
_space_group_IT_number 11
_cell_length_a 9.208
_cell_length_b 3.951
_cell_length_c 10.945
_cell_angle_alpha 90.00
_cell_angle_beta 110.77
_cell_angle_gamma 90.00
loop_
_space_group_symop_operation_xyz
'x,y,z'
'-x,-y,-z'
'-x,y+1/2,-z'
'x,-y+1/2,z'
loop_
_atom_site_label
_atom_site_type_symbol
_atom_site_fract_x
_atom_site_fract_y
_atom_site_fract_z
K1 K 0.234 0.250 0.282
Mn1 Mn 0.350 0.750 0.839
Ga1 Ga 0.106 0.250 0.561
Te1 Te 0.131 0.250 0.817
Te2 Te 0.340 0.750 0.587
Te3 Te 0.424 0.750 0.103
# **Formation energy from raw total energies**: -0.418 eV/atom
# **Electronic total energy**: -50.45 eV per cell


Record 2
# KMnTlGa2 | Alexandria | PBE-GGA | relaxed
data_KMnTlGa2
_space_group_name_H-M_alt 'P 4/m m m'
_space_group_IT_number 123
_space_group_name_Hall '-P 4 2'
_cell_length_a 4.811
_cell_length_b 4.811
_cell_length_c 5.156
_cell_angle_alpha 90.00
_cell_angle_beta 90.00
_cell_angle_gamma 90.00
loop_
_atom_site_label
_atom_site_type_symbol
_atom_site_fract_x
_atom_site_fract_y
_atom_site_fract_z
K1 K 0.000 0.000 0.000
Mn1 Mn 0.500 0.500 0.500
Tl1 Tl 0.500 0.500 0.000
Ga1 Ga 0.000 0.500 0.500
# **Electronic total energy**: -18.54 eV per cell
# **Calculated formation energy**: 14 kJ/mol of formula units


Question: Among the records above, which one has the lowest electronic total energy?
Answer: KMnGaTe3


Question: electronic total energy of number 2 (KMnTlGa2)?
Answer: -18.54 eV per cell


Question: What is the electronic total energy in the first record?
Answer: -50.45 eV per cell